Bi2HOsO8, relaxed, DFT PBE; total DFT energy (no corrections) = -71.03 eV/f.u.
1.0
4.6353 0.0000 0.0000
-0.7163 4.6019 0.0000
-0.0131 -0.0063 7.2698
Bi H Os O
2 1 1 8
direct
0.0001 0.0000 0.2284
0.9999 0.0000 0.7716
0.5000 0.5000 0.0000
0.5000 0.5000 0.5000
0.2286 0.1577 0.5006
0.2876 0.2752 0.9996
0.2889 0.6499 0.3151
0.2913 0.6517 0.6849
0.7087 0.3483 0.3151
0.7111 0.3501 0.6849
0.7124 0.7248 0.0004
0.7714 0.8423 0.4994